LiZrGe2: optimized geometry, PBE-GGA.

Cell and atoms, written as POSCAR:
```
LiZrGe2
1.0
-1.839 -3.412 0.592
3.674 -1.845 0.776
-0.396 0.919 4.062
Ge Zr Li
2 1 1
Direct
0.000 0.000 0.500
0.000 0.500 0.000
0.500 0.000 0.000
0.500 0.500 0.500
```

**VASP energy**: -5.37 eV per atom